1.
## BaMg2ReN4 (PBE)

Data for a relaxed structure of BaMg2ReN4.

Summary:
Formation energy without anion corrections ... -0.5808 eV/atom
Symmetry ... Pmn2_1, No. 31
E_tot ... -0.255 Ha/atom

abc: 5.7212 5.6879 7.7319
angles: 90.00 90.00 90.00
Last column: nearest neighbours and their distance in Å.
Sites, in units of the cell vectors:
Ba 0.9925 0.1982 0.5000  4 N 2.68-2.81
Ba 0.4925 0.8018 0.0000  4 N 2.68-2.81
Mg 0.4968 0.3199 0.2543  4 N 2.10-2.23
Mg 0.4968 0.3199 0.7457  4 N 2.10-2.23
Mg 0.9968 0.6801 0.7543  4 N 2.10-2.23
Mg 0.9968 0.6801 0.2457  4 N 2.10-2.23
Re 0.5070 0.7878 0.5000  4 N 1.87-1.89
Re 0.0070 0.2122 0.0000  4 N 1.87-1.89
N 0.3294 0.2683 0.0000  1 Re 1.87
N 0.8294 0.7317 0.5000  1 Re 1.87
N 0.4731 0.1175 0.5000  1 Re 1.89
N 0.9731 0.8825 0.0000  1 Re 1.89
N 0.3522 0.6520 0.6881  1 Re 1.87
N 0.8522 0.3480 0.1881  1 Re 1.87
N 0.8522 0.3480 0.8119  1 Re 1.87
N 0.3522 0.6520 0.3119  1 Re 1.87

---

2.
## NbInAgIr2 (PBE)

Data for a relaxed structure of NbInAgIr2.

Summary:
Symmetry ... P4/mmm, No. 123
E_tot ... -0.180 Ha/atom
Calculated formation energy ... 1.787 eV/atom

abc: 4.8641 4.7977 4.8641
angles: 90.00 90.00 90.00
Last column: nearest neighbours and their distance in Å.
Sites, in units of the cell vectors:
Nb 0.0000 0.5000 0.0000  2 Ag 2.40
Ir 0.0000 0.0000 0.5000  2 Ag 2.43
Ir 0.5000 0.0000 0.0000  2 Ag 2.43
Ag 0.0000 0.0000 0.0000  2 Nb 2.40, 4 Ir 2.43
In 0.5000 0.5000 0.5000  8 Ir 3.42, 4 Nb 3.44

---

3.
## NiPPt2C (PBE)

Data for a relaxed structure of NiPPt2C.

Summary:
Symmetry ... P4/mmm, No. 123
E_tot ... -0.211 Ha/atom
Calculated formation energy ... 0.768 eV/atom

abc: 4.1800 3.8850 4.1800
angles: 90.00 90.00 90.00
Last column: nearest neighbours and their distance in Å.
Sites, in units of the cell vectors:
Ni 0.5000 0.5000 0.5000  8 Pt 2.85, 4 P 2.96
C 0.0000 0.0000 0.0000  2 P 1.94, 4 Pt 2.09
Pt 0.0000 0.0000 0.5000  2 C 2.09
Pt 0.5000 0.0000 0.0000  2 C 2.09
P 0.0000 0.5000 0.0000  2 C 1.94

---

4.
## Er2Pd2Pt3 (PBE)

Data for a relaxed structure of Er2Pd2Pt3.

Summary:
Symmetry ... C2/m, No. 12
E_tot ... -0.229 Ha/atom
Calculated formation energy ... -0.860 eV/atom

abc: 4.1247 5.1706 9.0408
angles: 124.86 90.00 113.51
Last column: nearest neighbours and their distance in Å.
Sites, in units of the cell vectors:
Er 0.4223 0.8445 0.2262  6 Pt 2.86-2.94, 4 Pd 2.94-3.10
Er 0.5777 0.1555 0.7738  6 Pt 2.86-2.94, 4 Pd 2.94-3.10
Pd 0.2310 0.4620 0.3886  2 Pd 2.75, 5 Pt 2.81-2.93, 2 Er 2.94-2.96
Pd 0.7690 0.5380 0.6114  2 Pd 2.75, 5 Pt 2.81-2.93, 2 Er 2.94-2.96
Pt 0.0000 0.0000 0.5000  2 Pt 2.74, 6 Pd 2.93, 4 Er 2.94
Pt 0.6735 0.3471 0.1458  2 Pt 2.64-2.74, 2 Pd 2.81, 4 Er 2.86-2.89
Pt 0.3265 0.6529 0.8542  2 Pt 2.64-2.74, 2 Pd 2.81, 4 Er 2.86-2.89

---

Please write out number 3 again, unchanged.
## NiPPt2C (PBE)

Data for a relaxed structure of NiPPt2C.

Summary:
Symmetry ... P4/mmm, No. 123
E_tot ... -0.211 Ha/atom
Calculated formation energy ... 0.768 eV/atom

abc: 4.1800 3.8850 4.1800
angles: 90.00 90.00 90.00
Last column: nearest neighbours and their distance in Å.
Sites, in units of the cell vectors:
Ni 0.5000 0.5000 0.5000  8 Pt 2.85, 4 P 2.96
C 0.0000 0.0000 0.0000  2 P 1.94, 4 Pt 2.09
Pt 0.0000 0.0000 0.5000  2 C 2.09
Pt 0.5000 0.0000 0.0000  2 C 2.09
P 0.0000 0.5000 0.0000  2 C 1.94

---

Which value of E_tot does entry 3 give? -0.211 Ha/atom

---

What is the formula in the second record? NbInAgIr2